[1]
{"formula": "BaGeH2F8", "functional": "PBE", "state": "optimized geometry", "final_energy_ev_per_atom": -4.879, "magmom_total_mub_per_cell": 0.00, "lattice": [[5.152, 0.000, 0.000], [2.359, 4.610, 0.000], [1.652, 1.032, 7.103]], "species": ["Ba", "Ge", "H", "H", "F", "F", "F", "F", "F", "F", "F", "F"], "frac_coords": [[0.000, 0.000, 0.000], [0.000, 0.000, 0.500], [0.275, 0.278, 0.239], [0.725, 0.722, 0.761], [0.215, 0.221, 0.423], [0.233, 0.769, 0.320], [0.234, 0.772, 0.680], [0.310, 0.313, 0.092], [0.690, 0.687, 0.908], [0.766, 0.228, 0.320], [0.767, 0.231, 0.680], [0.785, 0.779, 0.577]]}

[2]
{"formula": "BaHg2GeF6", "functional": "PBE", "state": "optimized geometry", "magmom_total_mub_per_cell": 0.00, "e_form_raw_ev_per_atom": -2.2936, "lattice": [[6.418, 0.000, 0.000], [-3.209, 5.558, 0.000], [0.000, 0.000, 6.761]], "species": ["Ba", "Hg", "Hg", "Ge", "F", "F", "F", "F", "F", "F"], "frac_coords": [[0.000, 0.000, 0.000], [0.333, 0.667, 0.177], [0.667, 0.333, 0.823], [0.000, 0.000, 0.500], [0.132, 0.264, 0.664], [0.132, 0.868, 0.664], [0.264, 0.132, 0.336], [0.736, 0.868, 0.664], [0.868, 0.132, 0.336], [0.868, 0.736, 0.336]]}

[3]
{"formula": "BaHgGeF6", "functional": "PBE", "state": "optimized geometry", "magmom_total_mub_per_cell": 0.00, "e_form_raw_ev_per_atom": -2.6240, "lattice": [[5.273, 0.000, 0.000], [-0.133, 5.492, 0.000], [-0.495, -2.577, 5.567]], "species": ["Ba", "Hg", "Ge", "F", "F", "F", "F", "F", "F"], "frac_coords": [[0.000, 0.000, 0.000], [0.305, 0.358, 0.669], [0.667, 0.643, 0.293], [0.376, 0.423, 0.199], [0.516, 0.867, 0.173], [0.593, 0.829, 0.602], [0.792, 0.460, 0.994], [0.828, 0.401, 0.380], [0.961, 0.861, 0.371]]}

[4]
{"formula": "K2BaGeF8", "functional": "PBE", "state": "optimized geometry", "magmom_total_mub_per_cell": 0.00, "e_form_raw_ev_per_atom": -2.9551, "lattice": [[4.577, 0.000, 0.000], [0.000, 7.828, 0.000], [-0.604, 0.000, 5.970]], "species": ["K", "K", "Ba", "Ge", "F", "F", "F", "F", "F", "F", "F", "F"], "frac_coords": [[0.000, 0.233, 0.000], [0.000, 0.767, 0.000], [0.500, 0.500, 0.500], [0.500, 0.000, 0.500], [0.011, 0.500, 0.744], [0.158, 0.000, 0.322], [0.384, 0.174, 0.683], [0.384, 0.826, 0.683], [0.616, 0.174, 0.317], [0.616, 0.826, 0.317], [0.842, 0.000, 0.678], [0.989, 0.500, 0.256]]}

[5]
{"formula": "BaLi2GeF", "functional": "PBE", "state": "optimized geometry", "magmom_total_mub_per_cell": 0.09, "e_form_raw_ev_per_atom": -0.7727, "lattice": [[4.388, 0.000, 0.000], [0.000, 4.388, 0.000], [0.000, 0.000, 7.051]], "species": ["Ba", "Li", "Li", "Ge", "F"], "frac_coords": [[0.000, 0.000, 0.000], [0.000, 0.500, 0.500], [0.500, 0.000, 0.500], [0.500, 0.500, 0.000], [0.500, 0.500, 0.500]]}

Mass density, respectively: 3.6, 5.0, 5.4, 3.4, 3.0 g/cm³.